1.
The following is a PBE calculation of crystalline TmBi at its relaxed geometry, from OQMD.

Cell lengths 4.5080, 4.5080, 6.8613 Å; angles 90.00, 90.00, 120.00 degrees
Closest atoms and distances in Å follow each position.
Positions (direct):
Tm1 0.0000 0.0000 0.0000  6 Bi 3.12, 2 Tm 3.43
Tm2 0.0000 0.0000 0.5000  6 Bi 3.12, 2 Tm 3.43
Bi1 0.3333 0.6667 0.2500  6 Tm 3.12
Bi2 0.6667 0.3333 0.7500  6 Tm 3.12

Values from the calculation:
volume = 30.2 Å³ per atom
mass density = 10394 kg/m3
total energy = -4.98 eV/atom
total moment = 0.00 μB per cell

2.
The following is a PBE calculation of crystalline CsNaPtW at its relaxed geometry, from OQMD.

Cell lengths 5.2404, 5.2404, 5.2404 Å; angles 60.00, 60.00, 60.00 degrees
Closest atoms and distances in Å follow each position.
Positions (direct):
Cs1 0.0000 0.0000 0.0000  4 Na 3.21, 4 Pt 3.21
Na1 0.7500 0.7500 0.7500  4 W 3.21, 4 Cs 3.21
Pt1 0.2500 0.2500 0.2500  4 W 3.21, 4 Cs 3.21
W1 0.5000 0.5000 0.5000  4 Na 3.21, 4 Pt 3.21

Values from the calculation:
offset from the most stable computed form = 0.111 eV per atom
volume = 25.4 Å³ per atom
mass density = 8727 kg/m3
total energy = -3.82 eV/atom
total moment = 4.24 μB per cell

3.
The following is a PBE calculation of crystalline UAsOs at its relaxed geometry, from OQMD.

Cell lengths 4.5527, 4.5527, 4.5527 Å; angles 60.00, 60.00, 60.00 degrees
Closest atoms and distances in Å follow each position.
Positions (direct):
U1 0.0000 0.0000 0.0000  4 As 2.79, 4 Os 2.79
As1 0.7500 0.7500 0.7500  4 U 2.79
Os1 0.2500 0.2500 0.2500  4 U 2.79

Values from the calculation:
volume = 22.2 Å³ per atom
mass density = 12522 kg/m3
total energy = -8.58 eV/atom
total moment = 0.11 μB per cell

Q: Which formula does entry 3 have?
A: UAsOs

Q: Which of these has the lowest total moment?
A: TmBi

Q: The highest mass density belongs to which entry?
A: UAsOs